VASP calculation (PBE-GGA) on HfHg after structural relaxation.

Energy (eV per atom): -3.907

The structure in POSCAR format:
```
HfHg
1.0
7.7328 0.0000 0.0000
0.0000 7.7328 0.0000
0.0000 0.0000 7.7328
Hf Hg
6 6
direct
0.0000 0.2500 0.5000
0.0000 0.7500 0.5000
0.2500 0.5000 0.0000
0.5000 0.0000 0.2500
0.5000 0.0000 0.7500
0.7500 0.5000 0.0000
0.0000 0.5000 0.2500
0.0000 0.5000 0.7500
0.2500 0.0000 0.5000
0.5000 0.2500 0.0000
0.5000 0.7500 0.0000
0.7500 0.0000 0.5000
```